VASP calculation (PBE+U) on crystalline Na5Li3V8O24 at its relaxed geometry.

Values from the calculation:
spin magnetization	0.001	Bohr magnetons per cell
raw total energy	-269.643	eV/cell
crystal system	triclinic

```
Na5Li3V8O24
1.0
5.950 -0.070 0.044
-1.815 6.858 0.007
-2.373 -0.730 13.560
O V Na Li
24 8 5 3
Cartesian
-0.593 6.194 8.316 O
1.017 0.720 13.448 O
0.823 2.223 4.370 O
0.660 2.625 0.692 O
-0.813 4.266 2.362 O
2.282 0.532 2.584 O
-0.390 1.780 11.170 O
-0.545 5.513 11.007 O
2.587 4.935 6.963 O
2.387 2.255 7.494 O
1.116 3.457 12.945 O
4.107 0.038 9.597 O
2.579 1.797 11.276 O
2.175 -0.188 5.251 O
0.950 3.902 9.153 O
0.757 5.352 0.187 O
-0.646 1.167 6.594 O
-1.926 -0.447 12.246 O
2.162 4.298 2.474 O
-2.029 3.921 9.268 O
3.791 2.037 4.353 O
3.688 6.539 1.486 O
-0.664 3.873 6.026 O
-2.324 5.953 4.135 O
1.058 1.922 12.270 V
-0.692 2.328 5.382 V
2.242 1.094 4.158 V
-1.911 0.773 11.079 V
0.714 4.156 1.371 V
3.686 5.289 2.615 V
-0.526 4.939 9.432 V
2.486 3.768 8.178 V
1.493 4.631 4.892 Na
0.280 1.434 8.727 Na
3.270 0.122 7.394 Na
-2.731 4.350 11.705 Na
4.483 1.742 1.924 Na
-1.504 5.807 6.082 Li
0.284 5.431 12.984 Li
1.459 0.636 0.629 Li
```